DFT (GGA-PBE) results for a relaxed structure of ScIrRu2.

Structure (POSCAR):
```
ScIrRu2
1.0
1.424 0.822 8.824
-1.424 0.822 8.824
0.000 -1.644 8.824
Sc Ir Ru
1 1 2
direct
0.000 0.000 0.000
0.249 0.249 0.249
0.498 0.498 0.498
0.754 0.754 0.754
```

Total moment ... 0.0000 μB/atom
Theoretical density ... 11.767 g/cm³
Calculated formation energy ... 0.20 eV/f.u.